[1]
First-principles (GGA-PBE) data for a geometry-optimized MgCuPt2S structure, as listed in Alexandria.

Properties
As for the total magnetization: 0.0 μB/cell. For the electronic total energy, the calculation gives -4.16 eV/atom. The value obtained for the formation energy without anion corrections is 0.218 eV/atom. The calculated volume comes out at 93.8 Å³ per cell.

Lattice parameters (Å, degrees): 4.551 4.528 4.551 90.00 90.00 90.00
Element x y z (fractional)
S 0.000 0.000 0.000
Pt 0.500 0.000 0.000
Pt 0.000 0.000 0.500
Cu 0.500 0.500 0.500
Mg 0.000 0.500 0.000

---

[2]
First-principles (GGA-PBE) data for a geometry-optimized Mg2CuSi2Pt5 structure, as listed in Alexandria.

Properties
As for the total magnetization: 0.0 μB/cell. For the electronic total energy, the calculation gives -5.48 eV/atom. The value obtained for the formation energy without anion corrections is -0.645 eV/atom. The calculated volume comes out at 310.9 Å³ per cell.

Lattice parameters (Å, degrees): 3.555 9.353 9.353 90.00 90.00 90.00
Element x y z (fractional)
Cu 0.000 0.500 0.500
Cu 0.000 0.000 0.000
Si 0.000 0.632 0.868
Si 0.000 0.368 0.132
Si 0.000 0.868 0.368
Si 0.000 0.132 0.632
Mg 0.000 0.670 0.170
Mg 0.000 0.170 0.330
Mg 0.000 0.330 0.830
Mg 0.000 0.830 0.670
Pt 0.500 0.799 0.927
Pt 0.500 0.427 0.299
Pt 0.500 0.573 0.701
Pt 0.500 0.000 0.500
Pt 0.500 0.500 0.000
Pt 0.500 0.073 0.799
Pt 0.500 0.701 0.427
Pt 0.500 0.927 0.201
Pt 0.500 0.299 0.573
Pt 0.500 0.201 0.073

---

[3]
First-principles (GGA-PBE) data for a geometry-optimized MgCuSiPt structure, as listed in Alexandria.

Properties
As for the total magnetization: 0.0 μB/cell. For the electronic total energy, the calculation gives -4.69 eV/atom. The value obtained for the formation energy without anion corrections is -0.399 eV/atom. The calculated volume comes out at 57.2 Å³ per cell.

Lattice parameters (Å, degrees): 4.326 4.326 4.326 60.00 60.00 60.00
Element x y z (fractional)
Si 0.500 0.500 0.500
Mg 0.000 0.000 0.000
Cu 0.250 0.250 0.250
Pt 0.750 0.750 0.750

---

[4]
First-principles (GGA-PBE) data for a geometry-optimized Sm2MgCu2Pt5 structure, as listed in Alexandria.

Properties
As for the total magnetization: 0.0 μB/cell. For the electronic total energy, the calculation gives -5.75 eV/atom. The calculated volume comes out at 354.5 Å³ per cell. As for the energy relative to the elements: -806 meV/atom.

Lattice parameters (Å, degrees): 3.941 9.484 9.484 90.00 90.00 90.00
Element x y z (fractional)
Pt 0.500 0.069 0.794
Pt 0.500 0.000 0.500
Pt 0.500 0.294 0.569
Pt 0.500 0.931 0.206
Pt 0.500 0.794 0.931
Pt 0.500 0.706 0.431
Pt 0.500 0.431 0.294
Pt 0.500 0.500 0.000
Pt 0.500 0.569 0.706
Pt 0.500 0.206 0.069
Cu 0.000 0.880 0.380
Cu 0.000 0.620 0.880
Cu 0.000 0.380 0.120
Cu 0.000 0.120 0.620
Mg 0.000 0.500 0.500
Mg 0.000 0.000 0.000
Sm 0.000 0.824 0.676
Sm 0.000 0.676 0.176
Sm 0.000 0.176 0.324
Sm 0.000 0.324 0.824

---

[5]
First-principles (GGA-PBE) data for a geometry-optimized MgTaCuPt structure, as listed in Alexandria.

Properties
As for the total magnetization: 0.0 μB/cell. For the electronic total energy, the calculation gives -6.25 eV/atom. The calculated volume comes out at 63.3 Å³ per cell. As for the energy relative to the elements: -355 meV/atom.

Lattice parameters (Å, degrees): 4.473 4.473 4.473 60.00 60.00 60.00
Element x y z (fractional)
Mg 0.250 0.250 0.250
Ta 0.750 0.750 0.750
Pt 0.500 0.500 0.500
Cu 0.000 0.000 0.000

---

[6]
First-principles (GGA-PBE) data for a geometry-optimized TbMgCuPt structure, as listed in Alexandria.

Properties
As for the total magnetization: 0.0 μB/cell. For the electronic total energy, the calculation gives -4.73 eV/atom. The calculated volume comes out at 75.8 Å³ per cell. As for the energy relative to the elements: -642 meV/atom.

Lattice parameters (Å, degrees): 4.750 4.750 4.750 60.00 60.00 60.00
Element x y z (fractional)
Cu 0.250 0.250 0.250
Mg 0.500 0.500 0.500
Pt 0.750 0.750 0.750
Tb 0.000 0.000 0.000

---

[7]
First-principles (GGA-PBE) data for a geometry-optimized MgCuTe2Pt structure, as listed in Alexandria.

Properties
As for the total magnetization: 0.0 μB/cell. For the electronic total energy, the calculation gives -3.41 eV/atom. The value obtained for the formation energy without anion corrections is 0.189 eV/atom. The calculated volume comes out at 134.4 Å³ per cell.

Lattice parameters (Å, degrees): 5.321 4.746 5.321 90.00 90.00 90.00
Element x y z (fractional)
Te 0.000 0.000 0.500
Te 0.500 0.000 0.000
Pt 0.000 0.000 0.000
Cu 0.000 0.500 0.000
Mg 0.500 0.500 0.500

---

[8]
First-principles (GGA-PBE) data for a geometry-optimized ThMg2Cu2Pt structure, as listed in Alexandria.

Properties
As for the total magnetization: 0.0 μB/cell. For the electronic total energy, the calculation gives -4.09 eV/atom. The calculated volume comes out at 125.0 Å³ per cell. As for the energy relative to the elements: 52 meV/atom.

Lattice parameters (Å, degrees): 4.823 4.823 6.364 112.27 112.27 90.00
Element x y z (fractional)
Th 0.500 0.500 0.000
Mg 0.250 0.750 0.500
Mg 0.750 0.250 0.500
Cu 0.228 0.228 0.456
Cu 0.772 0.772 0.544
Pt 0.000 0.000 0.000